#a
Crystalline Cd2MoPd at its relaxed geometry, computed with PBE-GGA.

The density of states at the Fermi level is 9.3 states/eV/cell.

The structure belongs to space group Fm-3m (No. 225); the cell edges are 6.620, 6.620 and 6.620 Å and the angles 90.00°, 90.00° and 90.00°. The asymmetric unit holds Cd at (0.250, 0.250, 0.250), Mo at (0.000, 0.000, 0.000) and Pd at (0.000, 0.000, 0.500).

=====

#b
Crystalline Cd2MoPd at its relaxed geometry, computed with PBE-GGA.

The density of states at the Fermi level is 16.7 states/eV/cell.

The structure belongs to space group I-42d (No. 122); the cell edges are 7.525, 7.525 and 5.528 Å and the angles 90.00°, 90.00° and 90.00°. The asymmetric unit holds Cd at (0.238, 0.250, 0.125), Mo at (0.000, 0.000, 0.500) and Pd at (0.000, 0.000, 0.000).

=====

Top of the stability list: #a, leading by 353 meV per atom.

=====

#a
Crystalline Cd2MoPt at its relaxed geometry, computed with PBE-GGA.

The density of states at the Fermi level is 7.2 states/eV/cell.

The structure belongs to space group Cmmm (No. 65); the cell edges are 5.774, 8.962 and 2.765 Å and the angles 90.00°, 90.00° and 90.00°. The asymmetric unit holds Cd at (0.250, 0.250, 0.000), Mo at (0.000, 0.000, 0.500) and Pt at (0.000, 0.500, 0.500).

=====

#b
Crystalline Cd2MoPt at its relaxed geometry, computed with PBE-GGA.

The density of states at the Fermi level is 4.1 states/eV/cell.

The structure belongs to space group P4/mmm (No. 123); the cell edges are 4.063, 4.063 and 4.356 Å and the angles 90.00°, 90.00° and 90.00°. The asymmetric unit holds Cd at (0.000, 0.500, 0.000), Mo at (0.000, 0.000, 0.500) and Pt at (0.500, 0.500, 0.500).

=====

#c
Crystalline Cd2MoPt at its relaxed geometry, computed with PBE-GGA.

The density of states at the Fermi level is 7.0 states/eV/cell.

The structure belongs to space group Fm-3m (No. 225); the cell edges are 6.614, 6.614 and 6.614 Å and the angles 90.00°, 90.00° and 90.00°. The asymmetric unit holds Cd at (0.250, 0.250, 0.250), Mo at (0.000, 0.000, 0.000) and Pt at (0.000, 0.000, 0.500).

=====

Top of the stability list: #a, leading by 27 meV per atom.

=====

#a
Crystalline Cd2MoPt at its relaxed geometry, computed with PBE-GGA.

The density of states at the Fermi level is 16.1 states/eV/cell.

The structure belongs to space group F-43m (No. 216); the cell edges are 6.602, 6.602 and 6.602 Å and the angles 90.00°, 90.00° and 90.00°. The asymmetric unit holds Cd at (0.000, 0.000, 0.000), Cd at (0.250, 0.250, 0.250), Mo at (0.000, 0.000, 0.500) and Pt at (0.250, 0.250, 0.750).

=====

#b
Crystalline Cd2MoPt at its relaxed geometry, computed with PBE-GGA.

The density of states at the Fermi level is 15.1 states/eV/cell.

The structure belongs to space group R-3m (No. 166, hexagonal axes); the cell edges are 2.9144, 2.9144 and 28.9221 Å and the angles 90.00°, 90.00° and 120.00°. The asymmetric unit holds Cd at (0.0000, 0.0000, 0.2484), Mo at (0.0000, 0.0000, 0.0000) and Pt at (0.0000, 0.0000, 0.5000).

=====

#c
Crystalline Cd2MoPt at its relaxed geometry, computed with PBE-GGA.

The density of states at the Fermi level is 5.8 states/eV/cell.

The structure belongs to space group I-4m2 (No. 119); the cell edges are 4.318, 4.318 and 7.691 Å and the angles 90.00°, 90.00° and 90.00°. The asymmetric unit holds Cd at (0.000, 0.000, 0.000), Cd at (0.000, 0.500, 0.250), Mo at (0.000, 0.500, 0.750) and Pt at (0.000, 0.000, 0.500).

=====

Top of the stability list: #b, leading by 33 meV per atom.